(1)
Here is ZrNi2Ir after structural relaxation from OQMD. Energies are from GGA-PBE.

a = 4.3745 Å, b = 4.3745 Å, c = 4.3745 Å
α = 60.00°, β = 60.00°, γ = 60.00°
Each line ends with the local moment (μB).
Positions (direct):
Ir 0.2500 0.2500 0.2500  0.10
Zr 0.5000 0.5000 0.5000  0.02
Ni 0.7500 0.7500 0.7500  0.05
Ni 0.0000 0.0000 0.0000  0.45

Computed properties:
The electronic total energy is -29.703 eV/cell. As for the size of the total moment: 0.6 μB/f.u. The value obtained for the formation energy is -291.3 meV per atom.

(2)
Here is TlReAuSeS2 after structural relaxation from OQMD. Energies are from GGA-PBE.

a = 8.4431 Å, b = 8.4431 Å, c = 9.8003 Å
α = 90.00°, β = 90.00°, γ = 157.60°
Positions (direct):
Re 0.0000 0.0000 0.0000
Se 0.0361 0.9639 0.7500
Au 0.6564 0.3436 0.2500
S 0.3940 0.6060 0.5223
Au 0.3436 0.6564 0.7500
Re 0.0000 0.0000 0.5000
S 0.6060 0.3940 0.0223
Tl 0.6922 0.3078 0.7500
Se 0.9639 0.0361 0.2500
Tl 0.3078 0.6922 0.2500
S 0.3940 0.6060 0.9777
S 0.6060 0.3940 0.4777

Computed properties:
The electronic total energy is -60.503 eV/cell. As for the size of the total moment: 0.0 μB/f.u.

(3)
Here is Fe2BW after structural relaxation from OQMD. Energies are from GGA-PBE.

a = 3.9786 Å, b = 3.9786 Å, c = 3.9786 Å
α = 60.00°, β = 60.00°, γ = 60.00°
Each line ends with the local moment (μB).
Positions (direct):
B 0.5000 0.5000 0.5000  0.02
Fe 0.0000 0.0000 0.0000  1.85
Fe 0.7500 0.7500 0.7500  1.79
W 0.2500 0.2500 0.2500  -0.22

Computed properties:
The electronic total energy is -35.193 eV/cell. As for the size of the total moment: 3.5 μB/f.u.

(4)
Here is SrLuW after structural relaxation from OQMD. Energies are from GGA-PBE.

a = 5.0948 Å, b = 5.0948 Å, c = 5.0948 Å
α = 60.00°, β = 60.00°, γ = 60.00°
Positions (direct):
Lu 0.0000 0.0000 0.0000
W 0.7500 0.7500 0.7500
Sr 0.2500 0.2500 0.2500

Computed properties:
The electronic total energy is -14.150 eV/cell. As for the size of the total moment: 2.7 μB/f.u.

The records above give, respectively, V values of 14.80, 22.18, 11.13, 31.17 Å³ per atom.
The records above give, respectively, density values of 11.2, 9.1, 11.4, 7.9 Mg/m³.